(1)
Here is a relaxed structure of LaMgBr from Alexandria via LeMat-Bulk. Energies are from PBE-GGA.

Calculated values
Mass density ... 4.3 Mg/m³

Cell: 5.1024 5.1024 5.1024 Å, 60.00 60.00 60.00°
With the nearest neighbours (Å) after each atom.
Atoms (fractional coordinates):
Br 0.7500 0.7500 0.7500  4 La 3.12, 4 Mg 3.12
La 0.0000 0.0000 0.0000  4 Br 3.12
Mg 0.5000 0.5000 0.5000  4 Br 3.12

***

(2)
Here is a relaxed structure of LaMgBr from Alexandria via LeMat-Bulk. Energies are from PBE-GGA.

Calculated values
Mass density ... 4.5 Mg/m³

Cell: 3.7390 3.7390 7.4674 Å, 90.00 90.00 120.00°
With the nearest neighbours (Å) after each atom.
Atoms (fractional coordinates):
Br 0.0000 0.0000 0.0032  3 La 3.17, 3 Mg 3.23
La 0.6667 0.3333 0.3147  3 Br 3.17, 3 Mg 3.49
Mg 0.3333 0.6667 0.6821  3 Br 3.23, 3 La 3.49

***

(3)
Here is a relaxed structure of LaMgBr from Alexandria via LeMat-Bulk. Energies are from PBE-GGA.

Calculated values
Mass density ... 4.1 Mg/m³

Cell: 3.7900 3.7857 15.7884 Å, 90.00 90.00 120.04°
With the nearest neighbours (Å) after each atom.
Atoms (fractional coordinates):
Mg 0.3467 0.6934 0.0000  2 Br 3.01
Mg 0.3291 0.6581 0.5000  6 La 3.48-3.49, 6 Mg 3.79
La 0.6641 0.3283 0.3285  3 Br 3.08-3.09
La 0.6641 0.3283 0.6715  3 Br 3.08-3.09
Br 0.3313 0.6626 0.8095  1 Mg 3.01, 3 La 3.08-3.09
Br 0.3313 0.6626 0.1905  1 Mg 3.01, 3 La 3.08-3.09

***

(4)
Here is a relaxed structure of LaMgBr from Alexandria via LeMat-Bulk. Energies are from PBE-GGA.

Calculated values
Mass density ... 4.5 Mg/m³

Cell: 5.3211 5.3211 3.6861 Å, 90.00 90.00 120.00°
With the nearest neighbours (Å) after each atom.
Atoms (fractional coordinates):
Br 0.0000 0.0000 0.1661  3 La 3.07
La 0.6667 0.3333 0.1668  3 Br 3.07
Mg 0.3333 0.6667 0.6670  6 Br 3.58, 6 La 3.58, 2 Mg 3.69

***

The relative energies come out as (1) 264; (2) 0; (3) 33; (4) 162, with values in meV per atom.

***

(1)
Here is a relaxed structure of La2MgBr from Alexandria via LeMat-Bulk. Energies are from PBE-GGA.

Calculated values
Mass density ... 5.1 Mg/m³

Cell: 3.7991 3.7991 10.2431 Å, 79.31 79.31 60.00°
With the nearest neighbours (Å) after each atom.
Atoms (fractional coordinates):
La 0.0864 0.0864 0.7411  3 Br 3.27, 3 Mg 3.39
La 0.2465 0.2465 0.2600  3 Br 3.24, 3 Mg 3.40
Mg 0.6666 0.6666 0.0000  6 La 3.39-3.40, 6 Mg 3.80
Br 0.5004 0.5004 0.4989  6 La 3.24-3.27

***

(2)
Here is a relaxed structure of La2MgBr from Alexandria via LeMat-Bulk. Energies are from PBE-GGA.

Calculated values
Mass density ... 5.0 Mg/m³

Cell: 3.6808 3.6808 10.4204 Å, 90.00 90.00 114.87°
With the nearest neighbours (Å) after each atom.
Atoms (fractional coordinates):
Br 0.5000 0.5000 0.7443  2 Mg 3.05, 2 La 3.14
La 0.0000 0.0000 0.9782  2 Br 3.14, 2 La 3.51
La 0.5000 0.5000 0.2561  2 Mg 3.40, 6 La 3.51-3.68
Mg 0.0000 0.0000 0.5214  2 Br 3.05, 2 La 3.40

***

The relative energies come out as (1) 0; (2) 187, with values in meV per atom.

***

(1)
Here is a relaxed structure of La2MnBr from Alexandria via LeMat-Bulk. Energies are from PBE-GGA.

Calculated values
Mass density ... 6.2 Mg/m³

Cell: 5.3782 5.3782 5.3782 Å, 60.00 60.00 60.00°
With the nearest neighbours (Å) after each atom.
Atoms (fractional coordinates):
Mn 0.0000 0.0000 0.0000  8 La 3.29
Br 0.5000 0.5000 0.5000  8 La 3.29
La 0.2500 0.2500 0.2500  4 Mn 3.29, 4 Br 3.29
La 0.7500 0.7500 0.7500  4 Mn 3.29, 4 Br 3.29

***

(2)
Here is a relaxed structure of La2MnBr from Alexandria via LeMat-Bulk. Energies are from PBE-GGA.

Calculated values
Mass density ... 5.5 Mg/m³

Cell: 7.2043 7.2043 6.9801 Å, 58.93 58.93 90.00°
With the nearest neighbours (Å) after each atom.
Atoms (fractional coordinates):
Mn 0.5000 0.5000 0.0000  4 La 2.43
Mn 0.2500 0.7500 0.5000  4 La 2.43
Br 0.0000 0.0000 0.0000  4 La 3.29
Br 0.7500 0.2500 0.5000  4 La 3.29
La 0.5306 0.1250 0.2500  2 Mn 2.43
La 0.2194 0.6250 0.2500  2 Mn 2.43
La 0.3750 0.4694 0.7500  2 Mn 2.43
La 0.8750 0.7806 0.7500  2 Mn 2.43

***

(3)
Here is a relaxed structure of La2MnBr from Alexandria via LeMat-Bulk. Energies are from PBE-GGA.

Calculated values
Mass density ... 6.3 Mg/m³

Cell: 3.5573 3.5671 9.2853 Å, 67.71 90.00 90.00°
With the nearest neighbours (Å) after each atom.
Atoms (fractional coordinates):
Br 0.5000 0.7500 0.7500  8 La 3.47-3.50, 4 Br 3.56-3.57
La 0.0000 0.9646 0.0309  4 Mn 3.14-3.15, 4 Br 3.47-3.50
La 0.0000 0.5354 0.4691  4 Mn 3.14-3.15, 4 Br 3.47-3.50
Mn 0.5000 0.2500 0.2500  8 La 3.14-3.15

***

The relative energies come out as (1) 294; (2) 204; (3) 0, with values in meV per atom.